No. 1
Below is a geometry-optimized Sr6HgAu structure, with properties calculated at the PBE level.

Values from the calculation:
Fermi-level density of states = 0.783 states/eV per atom
symmetry = R-3
energy = -16.29 eV for the cell shown
formation energy from the elements = -2.62 eV/f.u.
E above lowest polymorph = 0 meV per atom

Lattice parameters (Å, degrees): 7.718 7.720 8.585 63.30 63.32 60.01
Positions (direct):
Sr 0.072 0.415 0.755
Sr 0.758 0.071 0.755
Sr 0.585 0.242 0.245
Sr 0.242 0.929 0.245
Sr 0.928 0.585 0.245
Sr 0.415 0.758 0.755
Hg 0.500 0.500 0.500
Au 0.000 0.000 0.000

No. 2
Below is a geometry-optimized Sr8Hg2Au3 structure, with properties calculated at the PBE level.

Values from the calculation:
Fermi-level density of states = 0.929 states/eV per atom
symmetry = Cmmm
energy = -30.21 eV for the cell shown
formation energy from the elements = -6.32 eV/f.u.

Lattice parameters (Å, degrees): 5.521 11.107 9.605 125.33 90.00 90.00
Positions (direct):
Sr 0.000 0.621 0.243
Sr 0.000 0.379 0.757
Sr 0.000 0.118 0.236
Sr 0.000 0.882 0.764
Sr 0.500 0.636 0.760
Sr 0.500 0.124 0.760
Sr 0.500 0.876 0.240
Sr 0.500 0.364 0.240
Hg 0.500 0.257 0.514
Hg 0.500 0.743 0.486
Au 0.500 0.000 0.000
Au 0.000 0.260 0.000
Au 0.000 0.740 0.000

No. 3
Below is a geometry-optimized Sr2HgAu structure, with properties calculated at the PBE level.

Values from the calculation:
Fermi-level density of states = 0.661 states/eV per atom
symmetry = I-42d
energy = -17.07 eV for the cell shown
formation energy from the elements = -1.59 eV/f.u.

Lattice parameters (Å, degrees): 8.504 8.504 7.224 53.94 53.94 90.00
Positions (direct):
Sr 0.606 0.125 0.250
Sr 0.144 0.625 0.250
Sr 0.375 0.394 0.750
Sr 0.875 0.856 0.750
Au 0.500 0.500 0.000
Au 0.250 0.750 0.500
Hg 0.000 0.000 0.000
Hg 0.750 0.250 0.500

No. 4
Below is a geometry-optimized SrThHgAu structure, with properties calculated at the PBE level.

Values from the calculation:
Fermi-level density of states = 1.025 states/eV per atom
symmetry = F-43m
energy = -14.33 eV for the cell shown
formation energy from the elements = -1.65 eV/f.u.

Lattice parameters (Å, degrees): 5.406 5.406 5.406 60.00 60.00 60.00
Positions (direct):
Sr 0.250 0.250 0.250
Au 0.000 0.000 0.000
Hg 0.500 0.500 0.500
Th 0.750 0.750 0.750

No. 5
Below is a geometry-optimized Sr3Tl2Hg4Au2 structure, with properties calculated at the PBE level.

Values from the calculation:
Fermi-level density of states = 0.415 states/eV per atom
symmetry = P-3m1
energy = -22.22 eV for the cell shown
formation energy from the elements = -4.68 eV/f.u.

Lattice parameters (Å, degrees): 4.993 4.993 15.180 90.00 90.00 120.00
Positions (direct):
Sr 0.000 0.000 0.748
Sr 0.000 0.000 0.000
Sr 0.000 0.000 0.252
Tl 0.667 0.333 0.433
Tl 0.333 0.667 0.567
Hg 0.667 0.333 0.127
Hg 0.333 0.667 0.873
Hg 0.667 0.333 0.639
Hg 0.333 0.667 0.361
Au 0.667 0.333 0.870
Au 0.333 0.667 0.130

No. 6
Below is a geometry-optimized Sr2TlHg6Au structure, with properties calculated at the PBE level.

Values from the calculation:
Fermi-level density of states = 0.499 states/eV per atom
symmetry = P-1
energy = -13.52 eV for the cell shown
formation energy from the elements = -2.71 eV/f.u.

Lattice parameters (Å, degrees): 8.101 6.928 11.678 43.72 43.11 69.71
Positions (direct):
Sr 0.719 0.204 0.559
Sr 0.281 0.796 0.441
Tl 0.000 0.000 0.000
Hg 0.367 0.228 0.492
Hg 0.866 0.658 0.929
Hg 0.241 0.738 0.198
Hg 0.759 0.262 0.802
Hg 0.134 0.342 0.071
Hg 0.633 0.772 0.508
Au 0.500 0.500 0.000

No. 7
Below is a geometry-optimized Sr3Tl2Hg2Au4 structure, with properties calculated at the PBE level.

Values from the calculation:
Fermi-level density of states = 0.618 states/eV per atom
symmetry = P-3m1
energy = -29.03 eV for the cell shown
formation energy from the elements = -5.54 eV/f.u.

Lattice parameters (Å, degrees): 4.962 4.962 14.634 90.00 90.00 120.00
Positions (direct):
Sr 0.000 0.000 0.731
Sr 0.000 0.000 0.000
Sr 0.000 0.000 0.269
Tl 0.667 0.333 0.425
Tl 0.333 0.667 0.575
Hg 0.667 0.333 0.861
Hg 0.333 0.667 0.139
Au 0.667 0.333 0.131
Au 0.333 0.667 0.869
Au 0.667 0.333 0.627
Au 0.333 0.667 0.373

No. 8
Below is a geometry-optimized Sr2TlHgAu structure, with properties calculated at the PBE level.

Values from the calculation:
Fermi-level density of states = 0.685 states/eV per atom
symmetry = P2_1/m
energy = -24.12 eV for the cell shown
formation energy from the elements = -2.75 eV/f.u.

Lattice parameters (Å, degrees): 4.810 8.653 8.073 112.33 90.00 90.00
Positions (direct):
Sr 0.750 0.883 0.644
Sr 0.750 0.706 0.034
Sr 0.250 0.117 0.356
Sr 0.250 0.294 0.966
Tl 0.250 0.550 0.661
Tl 0.750 0.450 0.339
Hg 0.250 0.700 0.328
Hg 0.750 0.300 0.672
Au 0.250 0.904 0.923
Au 0.750 0.096 0.077

No. 9
Below is a geometry-optimized SrZn2HgAu2 structure, with properties calculated at the PBE level.

Values from the calculation:
Fermi-level density of states = 0.240 states/eV per atom
symmetry = P-3m1
energy = -13.42 eV for the cell shown
formation energy from the elements = -2.33 eV/f.u.

Lattice parameters (Å, degrees): 4.575 4.575 7.302 90.00 90.00 120.00
Positions (direct):
Sr 0.000 0.000 0.000
Zn 0.667 0.333 0.693
Zn 0.333 0.667 0.307
Hg 0.000 0.000 0.500
Au 0.667 0.333 0.283
Au 0.333 0.667 0.717

No. 10
Below is a geometry-optimized SrZnHgAu2 structure, with properties calculated at the PBE level.

Values from the calculation:
Fermi-level density of states = 0.397 states/eV per atom
symmetry = P4/mmm
energy = -11.30 eV for the cell shown
formation energy from the elements = -1.49 eV/f.u.

Lattice parameters (Å, degrees): 5.044 5.044 5.059 90.00 90.00 90.00
Positions (direct):
Sr 0.500 0.500 0.500
Zn 0.000 0.000 0.000
Au 0.000 0.500 0.000
Au 0.500 0.000 0.000
Hg 0.000 0.000 0.500

- What is the energy in the fifth record?
  -22.22 eV for the cell shown

- Among the records above, which one has the lowest formation energy from the elements?
  Sr8Hg2Au3

Copy entry 7 word for word.
Below is a geometry-optimized Sr3Tl2Hg2Au4 structure, with properties calculated at the PBE level.

Values from the calculation:
Fermi-level density of states = 0.618 states/eV per atom
symmetry = P-3m1
energy = -29.03 eV for the cell shown
formation energy from the elements = -5.54 eV/f.u.

Lattice parameters (Å, degrees): 4.962 4.962 14.634 90.00 90.00 120.00
Positions (direct):
Sr 0.000 0.000 0.731
Sr 0.000 0.000 0.000
Sr 0.000 0.000 0.269
Tl 0.667 0.333 0.425
Tl 0.333 0.667 0.575
Hg 0.667 0.333 0.861
Hg 0.333 0.667 0.139
Au 0.667 0.333 0.131
Au 0.333 0.667 0.869
Au 0.667 0.333 0.627
Au 0.333 0.667 0.373